A plane-wave DFT calculation with PBE was carried out for Si2TeBr after structural relaxation.

Cell: 7.0176 7.0176 7.0176 Å, 90.00 90.00 90.00°
With the nearest neighbours (Å) after each atom.
Positions (direct):
Si1 0.0000 0.0000 0.0000  4 Br 3.04, 4 Si 3.04
Si2 0.0000 0.5000 0.5000  4 Br 3.04, 4 Si 3.04
Si3 0.2500 0.2500 0.2500  4 Te 3.04, 4 Si 3.04
Si4 0.2500 0.7500 0.7500  4 Te 3.04, 4 Si 3.04
Si5 0.5000 0.0000 0.5000  4 Br 3.04, 4 Si 3.04
Si6 0.5000 0.5000 0.0000  4 Br 3.04, 4 Si 3.04
Si7 0.7500 0.2500 0.7500  4 Te 3.04, 4 Si 3.04
Si8 0.7500 0.7500 0.2500  4 Te 3.04, 4 Si 3.04
Te1 0.0000 0.0000 0.5000  4 Si 3.04, 4 Br 3.04
Te2 0.0000 0.5000 0.0000  4 Si 3.04, 4 Br 3.04
Te3 0.5000 0.0000 0.0000  4 Si 3.04, 4 Br 3.04
Te4 0.5000 0.5000 0.5000  4 Br 3.04, 4 Si 3.04
Br1 0.2500 0.2500 0.7500  4 Te 3.04, 4 Si 3.04
Br2 0.2500 0.7500 0.2500  4 Te 3.04, 4 Si 3.04
Br3 0.7500 0.2500 0.2500  4 Te 3.04, 4 Si 3.04
Br4 0.7500 0.7500 0.7500  4 Si 3.04, 4 Te 3.04

## Properties
V	21.6	Å³/atom
symmetry	No. 216
ΔE_f (raw)	0.693	eV/atom